Record 1
First-principles (PBE-GGA) data for a geometry-optimized RbMnPb3 structure, as listed in the Alexandria database.

a = 6.131 Å, b = 6.131 Å, c = 6.131 Å
α = 90.00°, β = 90.00°, γ = 90.00°
Atoms (fractional coordinates):
Rb 0.000 0.000 0.000
Mn 0.500 0.500 0.500
Pb 0.000 0.000 0.500
Pb 0.000 0.500 0.000
Pb 0.500 0.000 0.000

Values from the calculation:
space group: No. 221
calculated formation energy: 1.516 eV per atom
energy above the most stable polymorph in this dataset: 116.6 kJ/mol of atoms
theoretical density: 5.49 g cm⁻³
D(E_F): 5.904 states/eV per cell

Record 2
First-principles (PBE-GGA) data for a geometry-optimized SrCu4Re structure, as listed in the Alexandria database.

a = 5.096 Å, b = 5.096 Å, c = 5.096 Å
α = 60.00°, β = 60.00°, γ = 60.00°
Atoms (fractional coordinates):
Sr 0.000 0.000 0.000
Cu 0.130 0.623 0.623
Cu 0.623 0.130 0.623
Cu 0.623 0.623 0.130
Cu 0.623 0.623 0.623
Re 0.250 0.250 0.250

Values from the calculation:
space group: No. 216
calculated formation energy: 0.522 eV per atom
theoretical density: 9.37 g cm⁻³
D(E_F): 5.011 states/eV per cell